# Ba2BiO4 | Alexandria | PBE-GGA | relaxed
# E_form (uncorrected) = -2.019 eV/atom
# magnetic moment = 0.0 μB/f.u.
# calculated total energy = -5.9562 eV per atom
data_Ba2BiO4
_symmetry_space_group_name_H-M 'I 4/m m m'
_symmetry_Int_Tables_number 139
_symmetry_space_group_name_Hall '-I 4 2'
_cell_length_a 4.4275
_cell_length_b 4.4275
_cell_length_c 13.6474
_cell_angle_alpha 90.00
_cell_angle_beta 90.00
_cell_angle_gamma 90.00
loop_
_atom_site_label
_atom_site_type_symbol
_atom_site_fract_x
_atom_site_fract_y
_atom_site_fract_z
_atom_site_occupancy
Ba1 Ba 0.0000 0.0000 0.1462 1
Bi1 Bi 0.0000 0.0000 0.5000 1
O1 O 0.0000 0.0000 0.3338 1
O2 O 0.0000 0.5000 0.0000 1



# NaReSnO6 | Alexandria | PBE-GGA | relaxed
# E_form (uncorrected) = -1.548 eV/atom
# magnetic moment = 0.0 μB/f.u.
# calculated total energy = -6.8278 eV per atom
data_NaReSnO6
_symmetry_space_group_name_H-M 'P 42 n m'
_symmetry_Int_Tables_number 102
_cell_length_a 4.9196
_cell_length_b 4.9196
_cell_length_c 9.4470
_cell_angle_alpha 90.00
_cell_angle_beta 90.00
_cell_angle_gamma 90.00
loop_
_symmetry_equiv_pos_as_xyz
'x,y,z'
'-y+1/2,x+1/2,z+1/2'
'-x,-y,z'
'y+1/2,-x+1/2,z+1/2'
'-x+1/2,y+1/2,z+1/2'
'y,x,z'
'x+1/2,-y+1/2,z+1/2'
'-y,-x,z'
loop_
_atom_site_label
_atom_site_type_symbol
_atom_site_fract_x
_atom_site_fract_y
_atom_site_fract_z
_atom_site_occupancy
Na1 Na 0.0000 0.0000 0.0000 1
Re1 Re 0.0000 0.0000 0.6699 1
Sn1 Sn 0.0000 0.0000 0.3300 1
O1 O 0.1737 0.1737 0.5114 1
O2 O 0.2042 0.2042 0.7988 1
O3 O 0.2272 0.2272 0.1839 1



What is the E_form (uncorrected) in the second record?
-1.548 eV/atom